Entry 1:
The following is a PBE calculation of a geometry-optimized PrCuSnTeS2 structure, from OQMD.

Lattice parameters (Å, degrees): 7.1935 7.1935 11.3503 90.00 90.00 147.02
Sites, in units of the cell vectors:
S  0.8743  0.1257  0.5879
Te  0.3932  0.6068  0.2500
Sn  0.2928  0.7072  0.7500
S  0.1257  0.8743  0.0879
Cu  0.9798  0.0202  0.7500
Cu  0.0202  0.9798  0.2500
S  0.8743  0.1257  0.9121
Sn  0.7072  0.2928  0.2500
S  0.1257  0.8743  0.4121
Pr  0.5000  0.5000  0.0000
Te  0.6068  0.3932  0.7500
Pr  0.5000  0.5000  0.5000

Results
Its electronic total energy is -58.46 eV/cell. As for the volume: 26.64 Å³ per atom.

***

Entry 2:
The following is a PBE calculation of a geometry-optimized SrPrCuTe2S structure, from OQMD.

Lattice parameters (Å, degrees): 7.5643 7.5643 10.8051 90.00 90.00 147.41
Sites, in units of the cell vectors:
Cu  0.5230  0.4770  0.7500
Sr  0.2804  0.7196  0.7500
Cu  0.4770  0.5230  0.2500
Sr  0.7196  0.2804  0.2500
S  0.9333  0.0667  0.7500
Pr  0.0000  0.0000  0.0000
Pr  0.0000  0.0000  0.5000
Te  0.3492  0.6508  0.4281
Te  0.6508  0.3492  0.9281
Te  0.3492  0.6508  0.0719
S  0.0667  0.9333  0.2500
Te  0.6508  0.3492  0.5719

Results
Its electronic total energy is -57.22 eV/cell. As for the volume: 27.75 Å³ per atom.

***

Entry 3:
The following is a PBE calculation of a geometry-optimized PrCuSb2 structure, from OQMD.

Lattice parameters (Å, degrees): 4.3769 4.3769 10.1629 90.00 90.00 90.00
Sites, in units of the cell vectors:
Pr  0.5000  0.5000  0.2510
Cu  0.0000  0.5000  0.5000
Sb  0.0000  0.5000  0.0003
Sb  0.5000  0.0000  0.0003
Sb  0.0000  0.0000  0.3484
Pr  0.0000  0.0000  0.7490
Cu  0.5000  0.0000  0.5000
Sb  0.5000  0.5000  0.6510

Results
Its electronic total energy is -38.92 eV/cell. As for the volume: 24.34 Å³ per atom.

***

Entry 4:
The following is a PBE calculation of a geometry-optimized Pr3Cu3Sb4 structure, from OQMD.

Lattice parameters (Å, degrees): 8.4892 8.4892 8.4892 109.47 109.47 109.47
Sites, in units of the cell vectors:
Sb  0.8397  0.5000  0.0000
Sb  0.0000  0.3397  0.5000
Sb  0.5000  0.0000  0.3397
Pr  0.3750  0.2500  0.6250
Pr  0.7500  0.8750  0.1250
Cu  0.2500  0.1250  0.8750
Cu  0.3750  0.6250  0.7500
Pr  0.6250  0.3750  0.2500
Pr  0.1250  0.7500  0.8750
Cu  0.6250  0.7500  0.3750
Sb  0.0000  0.8397  0.5000
Sb  0.5000  0.0000  0.8397
Cu  0.7500  0.3750  0.6250
Cu  0.1250  0.8750  0.2500
Sb  0.6603  0.6603  0.6603
Pr  0.2500  0.6250  0.3750
Pr  0.8750  0.1250  0.7500
Sb  0.3397  0.5000  0.0000
Sb  0.1603  0.1603  0.1603
Cu  0.8750  0.2500  0.1250

Results
Its electronic total energy is -99.44 eV/cell. As for the volume: 23.55 Å³ per atom.

***

Entry 5:
The following is a PBE calculation of a geometry-optimized Pr2CuSb4Se structure, from OQMD.

Lattice parameters (Å, degrees): 4.5420 4.5420 10.0124 90.00 90.00 90.00
Sites, in units of the cell vectors:
Sb  0.5000  0.0000  0.2053
Sb  0.5000  0.5000  0.5000
Sb  0.0000  0.0000  0.5000
Pr  0.5000  0.0000  0.7550
Pr  0.0000  0.5000  0.2450
Sb  0.0000  0.5000  0.7947
Se  0.5000  0.5000  0.0000
Cu  0.0000  0.0000  0.0000

Results
Its electronic total energy is -37.24 eV/cell. As for the volume: 25.82 Å³ per atom.

***

Entry 6:
The following is a PBE calculation of a geometry-optimized PrCu2SnSb structure, from OQMD.

Lattice parameters (Å, degrees): 4.4448 4.4448 10.7971 90.00 90.00 90.00
Sites, in units of the cell vectors:
Sb  0.0000  0.5000  0.8681
Pr  0.0000  0.5000  0.2459
Cu  0.5000  0.5000  0.0000
Pr  0.5000  0.0000  0.7541
Sb  0.5000  0.0000  0.1319
Cu  0.0000  0.0000  0.0000
Cu  0.5000  0.0000  0.3640
Sn  0.5000  0.5000  0.5000
Cu  0.0000  0.5000  0.6360
Sn  0.0000  0.0000  0.5000

Results
Its electronic total energy is -45.45 eV/cell. As for the volume: 21.33 Å³ per atom.

***

Entry 7:
The following is a PBE calculation of a geometry-optimized SrPrCu2Sb2 structure, from OQMD.

Lattice parameters (Å, degrees): 4.4855 4.4855 8.6874 90.00 90.00 120.00
Sites, in units of the cell vectors:
Sr  0.0000  0.0000  0.7497
Sb  0.6667  0.3333  0.0054
Pr  0.0000  0.0000  0.2495
Cu  0.6667  0.3333  0.4709
Cu  0.3333  0.6667  0.0336
Sb  0.3333  0.6667  0.4929

Results
Its electronic total energy is -26.52 eV/cell. As for the volume: 25.23 Å³ per atom.

***

Entry 8:
The following is a PBE calculation of a geometry-optimized PrTaCu2Sb4 structure, from OQMD.

Lattice parameters (Å, degrees): 4.3035 4.3035 9.5389 90.00 90.00 90.00
Sites, in units of the cell vectors:
Sb  0.0000  0.5000  0.0290
Ta  0.5000  0.5000  0.2391
Sb  0.5000  0.5000  0.6519
Sb  0.0000  0.0000  0.3194
Pr  0.0000  0.0000  0.7617
Sb  0.5000  0.0000  0.0290
Cu  0.5000  0.0000  0.4849
Cu  0.0000  0.5000  0.4849

Results
Its electronic total energy is -41.89 eV/cell. As for the volume: 22.08 Å³ per atom.

***

Entry 9:
The following is a PBE calculation of a geometry-optimized Pr2TaCuSb4 structure, from OQMD.

Lattice parameters (Å, degrees): 4.3005 4.3005 10.9895 90.00 90.00 90.00
Sites, in units of the cell vectors:
Sb  0.5000  0.5000  0.5000
Cu  0.0000  0.0000  0.0000
Pr  0.0000  0.5000  0.2702
Sb  0.0000  0.5000  0.8392
Pr  0.5000  0.0000  0.7298
Ta  0.5000  0.5000  0.0000
Sb  0.5000  0.0000  0.1608
Sb  0.0000  0.0000  0.5000

Results
Its electronic total energy is -45.69 eV/cell. As for the volume: 25.41 Å³ per atom.

***

Entry 10:
The following is a PBE calculation of a geometry-optimized TbPrCu2Sb4 structure, from OQMD.

Lattice parameters (Å, degrees): 4.3505 4.3505 10.0109 90.00 90.00 90.00
Sites, in units of the cell vectors:
Sb  0.5000  0.5000  0.6520
Tb  0.5000  0.5000  0.2518
Pr  0.0000  0.0000  0.7503
Sb  0.0000  0.5000  0.0069
Sb  0.0000  0.0000  0.3403
Cu  0.5000  0.0000  0.4959
Sb  0.5000  0.0000  0.0069
Cu  0.0000  0.5000  0.4959

Results
Its electronic total energy is -38.56 eV/cell. As for the volume: 23.68 Å³ per atom.

***

Entry 11:
The following is a PBE calculation of a geometry-optimized Pr2CuTcSb4 structure, from OQMD.

Lattice parameters (Å, degrees): 4.3740 4.3740 10.4247 90.00 90.00 90.00
Sites, in units of the cell vectors:
Pr  0.5000  0.0000  0.7429
Sb  0.5000  0.0000  0.1486
Cu  0.0000  0.0000  0.0000
Sb  0.5000  0.5000  0.5000
Pr  0.0000  0.5000  0.2571
Sb  0.0000  0.5000  0.8514
Sb  0.0000  0.0000  0.5000
Tc  0.5000  0.5000  0.0000

Results
Its electronic total energy is -44.26 eV/cell. As for the volume: 24.93 Å³ per atom.

***

Entry 12:
The following is a PBE calculation of a geometry-optimized PrYCu2Sb4 structure, from OQMD.

Lattice parameters (Å, degrees): 4.3505 4.3505 10.0067 90.00 90.00 90.00
Sites, in units of the cell vectors:
Sb  0.5000  0.5000  0.6611
Cu  0.5000  0.0000  0.5054
Cu  0.0000  0.5000  0.5054
Sb  0.0000  0.5000  0.9923
Sb  0.5000  0.0000  0.9923
Pr  0.5000  0.5000  0.2479
Y  0.0000  0.0000  0.7470
Sb  0.0000  0.0000  0.3487

Results
Its electronic total energy is -40.37 eV/cell. As for the volume: 23.67 Å³ per atom.